[1]
A geometry-optimized NaZn3Pt structure, computed with GGA-PBEsol.

Cell and atoms, written as POSCAR:
```
NaZn3Pt
1.0
-3.9103 0.4578 -2.7469
1.2538 -3.9387 -2.4413
-2.4866 -2.7060 3.0887
Zn Pt Na
3 1 1
Direct
0.0000 0.0000 0.5000
0.0000 0.5000 0.0000
0.5000 0.0000 0.0000
0.0000 0.0000 0.0000
0.5000 0.5000 0.5000
```

Summary:
Total magnetization = 0.00 Bohr magnetons per cell
ΔE_f = -0.13 eV per atom
Space group = No. 221
N(E_F) = 0.288 states/eV/atom

[2]
A geometry-optimized NaZn2Pt2 structure, computed with GGA-PBEsol.

Cell and atoms, written as POSCAR:
```
NaZn2Pt2
1.0
2.7835 0.0000 0.0000
0.0000 7.5000 0.0000
0.0000 0.0000 7.5000
Pt Na Zn
4 2 4
Direct
0.5000 0.8393 0.3393
0.5000 0.3393 0.1607
0.5000 0.6607 0.8393
0.5000 0.1607 0.6607
0.0000 0.5000 0.5000
0.0000 0.0000 0.0000
0.0000 0.1350 0.3650
0.0000 0.3650 0.8650
0.0000 0.8650 0.6350
0.0000 0.6350 0.1350
```

Summary:
Total magnetization = 0.00 Bohr magnetons per cell
ΔE_f = -0.46 eV per atom
Space group = No. 127
N(E_F) = 0.309 states/eV/atom

[3]
A geometry-optimized Na3ZrPt structure, computed with GGA-PBEsol.

Cell and atoms, written as POSCAR:
```
Na3ZrPt
1.0
5.6290 0.0000 0.0000
0.0000 5.6290 0.0000
0.0000 0.0000 5.6290
Pt Na Zr
1 3 1
Direct
0.5000 0.5000 0.5000
0.0000 0.0000 0.5000
0.5000 0.0000 0.0000
0.0000 0.5000 0.0000
0.0000 0.0000 0.0000
```

Summary:
Total magnetization = 3.34 Bohr magnetons per cell
ΔE_f = 1.86 eV per atom
Space group = No. 221
N(E_F) = 1.817 states/eV/atom

[4]
A geometry-optimized RbNaTaRe2 structure, computed with GGA-PBEsol.

Cell and atoms, written as POSCAR:
```
RbNaTaRe2
1.0
-0.3574 -2.9006 -3.7868
4.4300 1.2063 -1.3421
2.1914 -4.4691 3.2164
Ta Rb Re Na
1 1 2 1
Direct
0.0000 0.0000 0.0000
0.5000 0.5000 0.5000
0.5000 0.0000 0.0000
0.0000 0.5000 0.0000
0.0000 0.0000 0.5000
```

Summary:
Total magnetization = 1.48 Bohr magnetons per cell
ΔE_f = 1.85 eV per atom
Space group = No. 123
N(E_F) = 0.993 states/eV/atom

[5]
A geometry-optimized RbNaY2Re structure, computed with GGA-PBEsol.

Cell and atoms, written as POSCAR:
```
RbNaY2Re
1.0
5.2892 0.0000 0.0000
0.0000 5.2892 0.0000
0.0000 0.0000 6.7020
Y Rb Re Na
2 1 1 1
Direct
0.5000 0.0000 0.0000
0.0000 0.5000 0.0000
0.0000 0.0000 0.5000
0.0000 0.0000 0.0000
0.5000 0.5000 0.5000
```

Summary:
Total magnetization = 0.00 Bohr magnetons per cell
ΔE_f = 0.75 eV per atom
Space group = No. 123
N(E_F) = 0.891 states/eV/atom

[6]
A geometry-optimized RbNa3S structure, computed with GGA-PBEsol.

Cell and atoms, written as POSCAR:
```
RbNa3S
1.0
-2.4061 2.6972 4.8452
-3.8394 -4.6213 0.6658
4.0012 -2.8124 3.5526
Na Rb S
3 1 1
Direct
0.0000 0.0000 0.5000
0.0000 0.5000 0.0000
0.5000 0.0000 0.0000
0.0000 0.0000 0.0000
0.5000 0.5000 0.5000
```

Summary:
Energy relative to the elements, uncorrected = 286 kJ/mol of formula units
Total magnetization = 0.00 Bohr magnetons per cell
Space group = No. 221
N(E_F) = 0.274 states/eV/atom

[7]
A geometry-optimized RbNa2S2 structure, computed with GGA-PBEsol.

Cell and atoms, written as POSCAR:
```
RbNa2S2
1.0
-4.4912 0.9104 0.6477
-1.0965 -4.1065 -1.8312
3.0656 -0.8474 5.9132
Na S Rb
2 2 1
Direct
0.7500 0.2500 0.5000
0.2500 0.7500 0.5000
0.6205 0.6205 0.2409
0.3795 0.3795 0.7591
0.0000 0.0000 0.0000
```

Summary:
Energy relative to the elements, uncorrected = -392 kJ/mol of formula units
Total magnetization = 0.91 Bohr magnetons per cell
Space group = No. 139
N(E_F) = 0.228 states/eV/atom

[8]
A geometry-optimized Rb3NaSb structure, computed with GGA-PBEsol.

Cell and atoms, written as POSCAR:
```
Rb3NaSb
1.0
-4.0245 2.5718 -5.1655
4.6397 -2.3021 -4.7610
-3.4308 -6.1302 -0.3792
Sb Na Rb
1 1 3
Direct
0.0000 0.0000 0.0000
0.5000 0.5000 0.5000
0.5000 0.0000 0.0000
0.0000 0.5000 0.0000
0.0000 0.0000 0.5000
```

Summary:
Energy relative to the elements, uncorrected = -25 kJ/mol of formula units
Total magnetization = 1.07 Bohr magnetons per cell
Space group = No. 221
N(E_F) = 1.052 states/eV/atom

[9]
A geometry-optimized RbNa2Sb2 structure, computed with GGA-PBEsol.

Cell and atoms, written as POSCAR:
```
RbNa2Sb2
1.0
3.2219 0.0000 0.0000
0.0000 9.5572 0.0000
0.0000 0.0000 9.5572
Rb Na Sb
2 4 4
Direct
0.0000 0.0000 0.0000
0.0000 0.5000 0.5000
0.0000 0.3779 0.8779
0.0000 0.6221 0.1221
0.0000 0.8779 0.6221
0.0000 0.1221 0.3779
0.5000 0.1718 0.6718
0.5000 0.3282 0.1718
0.5000 0.6718 0.8282
0.5000 0.8282 0.3282
```

Summary:
Energy relative to the elements, uncorrected = -166 kJ/mol of formula units
Total magnetization = 0.00 Bohr magnetons per cell
Space group = No. 127
E above lowest polymorph = 0 kJ/mol of formula units
N(E_F) = 0.583 states/eV/atom

[10]
A geometry-optimized RbNa2Sb2 structure, computed with GGA-PBEsol.

Cell and atoms, written as POSCAR:
```
RbNa2Sb2
1.0
-3.7508 -2.9269 2.0503
3.5530 -2.7362 2.5938
-0.3729 6.8820 2.5970
Rb Sb Na
1 2 2
Direct
0.0000 0.0000 0.0000
0.6078 0.6078 0.2156
0.3922 0.3922 0.7844
0.7500 0.2500 0.5000
0.2500 0.7500 0.5000
```

Summary:
Energy relative to the elements, uncorrected = -165 kJ/mol of formula units
Total magnetization = 0.00 Bohr magnetons per cell
Space group = No. 139
E above lowest polymorph = 1 kJ/mol of formula units
N(E_F) = 0.539 states/eV/atom

[11]
A geometry-optimized RbNaSb3 structure, computed with GGA-PBEsol.

Cell and atoms, written as POSCAR:
```
RbNaSb3
1.0
5.9697 0.0000 0.0000
0.0000 5.9697 0.0000
0.0000 0.0000 5.9697
Na Sb Rb
1 3 1
Direct
0.5000 0.5000 0.5000
0.0000 0.5000 0.0000
0.5000 0.0000 0.0000
0.0000 0.0000 0.5000
0.0000 0.0000 0.0000
```

Summary:
Energy relative to the elements, uncorrected = 502 kJ/mol of formula units
Total magnetization = 0.00 Bohr magnetons per cell
Space group = No. 221
N(E_F) = 1.385 states/eV/atom

[12]
A geometry-optimized RbNaTcSb2 structure, computed with GGA-PBEsol.

Cell and atoms, written as POSCAR:
```
RbNaTcSb2
1.0
5.1082 0.0000 0.0000
0.0000 5.4720 0.0000
0.0000 0.0000 5.4720
Rb Sb Na Tc
1 2 1 1
Direct
0.5000 0.0000 0.0000
0.0000 0.0000 0.5000
0.0000 0.5000 0.0000
0.0000 0.0000 0.0000
0.5000 0.5000 0.5000
```

Summary:
Energy relative to the elements, uncorrected = 630 kJ/mol of formula units
Total magnetization = 4.27 Bohr magnetons per cell
Space group = No. 123
N(E_F) = 0.877 states/eV/atom

[13]
A geometry-optimized RbNaSnSe2 structure, computed with GGA-PBEsol.

Cell and atoms, written as POSCAR:
```
RbNaSnSe2
1.0
5.8120 0.0000 0.0000
0.0000 5.9814 0.0000
0.0000 0.0000 5.9814
Na Rb Se Sn
1 1 2 1
Direct
0.5000 0.5000 0.5000
0.0000 0.0000 0.0000
0.0000 0.0000 0.5000
0.0000 0.5000 0.0000
0.5000 0.0000 0.0000
```

Summary:
Energy relative to the elements, uncorrected = 291 kJ/mol of formula units
Total magnetization = 0.04 Bohr magnetons per cell
Space group = No. 123
N(E_F) = 0.889 states/eV/atom

[14]
A geometry-optimized RbNa3Si structure, computed with GGA-PBEsol.

Cell and atoms, written as POSCAR:
```
RbNa3Si
1.0
5.8005 0.0000 0.0000
0.0000 5.8005 0.0000
0.0000 0.0000 5.8005
Rb Na Si
1 3 1
Direct
0.0000 0.0000 0.0000
0.0000 0.0000 0.5000
0.5000 0.0000 0.0000
0.0000 0.5000 0.0000
0.5000 0.5000 0.5000
```

Summary:
Energy relative to the elements, uncorrected = 486 kJ/mol of formula units
Total magnetization = 0.00 Bohr magnetons per cell
Space group = No. 221
N(E_F) = 0.859 states/eV/atom